8
Lattice="6.075 0.000 0.000 0.000 3.511 0.000 -2.032 0.000 5.725" Properties=species:S:1:pos:R:3 comment="PmUPa2N4, relaxed, DFT PBE-GGA" formation_energy_uncorrected_mev_per_atom=-1500 spacegroup="P2/m, No. 10" magmom_total_mub_per_fu=1.3 e_tot_ev_per_atom=-10.0413 pbc="T T T"
Pm 0.000 0.000 0.000
U 3.037 1.755 0.000
Pa -1.016 1.755 2.863
Pa 2.022 0.000 2.863
N 0.051 0.000 4.286
N 1.091 1.755 1.500
N 2.952 1.755 4.226
N 3.992 0.000 1.440